Entry 1:
{"formula": "TcMoC2", "functional": "GGA-PBE", "state": "optimized geometry", "total_magnetization_mub_per_fu": 0.0, "energy_ev_per_atom": -9.1022, "volume_a3_per_atom": 9.84, "relative_energy_mev_per_atom": 265, "lattice_angstrom": [[0.0000, 2.7001, 2.7001], [2.7001, 0.0000, 2.7001], [2.7001, 2.7001, 0.0000]], "species": ["Tc", "Mo", "C", "C"], "frac_coords": [[0.0000, 0.0000, 0.0000], [0.5000, 0.5000, 0.5000], [0.2500, 0.2500, 0.2500], [0.7500, 0.7500, 0.7500]]}

Entry 2:
{"formula": "Pm7Ga5Hg", "functional": "GGA-PBE", "state": "optimized geometry", "total_magnetization_mub_per_fu": 0.0, "energy_ev_per_atom": -4.1233, "volume_a3_per_atom": 26.67, "lattice_angstrom": [[-3.2163, 5.0589, 5.3264], [3.2163, -5.0589, 5.3264], [3.2163, 5.0589, -5.3264]], "species": ["Pm", "Pm", "Pm", "Pm", "Pm", "Pm", "Pm", "Ga", "Ga", "Ga", "Ga", "Ga", "Hg"], "frac_coords": [[0.0000, 0.0000, 0.0000], [0.3193, 0.6361, 0.6831], [0.3725, 0.3725, 0.0000], [0.4341, 0.1132, 0.3209], [0.7924, 0.1132, 0.6791], [0.8573, 0.3573, 0.5000], [0.9530, 0.6361, 0.3169], [0.1246, 0.1111, 0.4785], [0.1246, 0.6461, 0.0135], [0.3714, 0.8714, 0.5000], [0.6326, 0.1111, 0.9865], [0.6326, 0.6461, 0.5215], [0.6828, 0.6828, 0.0000]]}

Entry 3:
{"formula": "Al3SiNi6", "functional": "GGA-PBE", "state": "optimized geometry", "total_magnetization_mub_per_fu": 0.0, "energy_ev_per_atom": -5.6752, "volume_a3_per_atom": 11.62, "e_form_raw_mev_per_atom": -541, "lattice_angstrom": [[6.9383, 0.0000, 0.0000], [0.0000, 4.0652, 0.0000], [-2.6143, 0.0000, 8.2415]], "species": ["Al", "Al", "Al", "Al", "Al", "Al", "Si", "Si", "Ni", "Ni", "Ni", "Ni", "Ni", "Ni", "Ni", "Ni", "Ni", "Ni", "Ni", "Ni"], "frac_coords": [[0.0335, 0.2500, 0.3910], [0.1396, 0.7500, 0.2049], [0.2718, 0.2500, 0.9956], [0.7282, 0.7500, 0.0044], [0.8604, 0.2500, 0.7951], [0.9665, 0.7500, 0.6090], [0.4454, 0.2500, 0.6051], [0.5546, 0.7500, 0.3949], [0.0467, 0.7500, 0.9106], [0.1605, 0.2500, 0.6920], [0.2673, 0.7500, 0.5020], [0.3526, 0.7500, 0.8137], [0.3557, 0.2500, 0.3150], [0.4386, 0.7500, 0.1203], [0.5614, 0.2500, 0.8797], [0.6443, 0.7500, 0.6850], [0.6474, 0.2500, 0.1863], [0.7327, 0.2500, 0.4980], [0.8395, 0.7500, 0.3080], [0.9533, 0.2500, 0.0894]]}

Entry 4:
{"formula": "Ca2Al3CdAu4", "functional": "GGA-PBE", "state": "optimized geometry", "total_magnetization_mub_per_fu": 0.0, "energy_ev_per_atom": -3.5018, "volume_a3_per_atom": 21.49, "lattice_angstrom": [[4.4091, 0.0000, 0.0000], [0.0000, 4.4091, 0.0000], [0.0000, 0.0000, 11.0528]], "species": ["Ca", "Ca", "Al", "Al", "Al", "Cd", "Au", "Au", "Au", "Au"], "frac_coords": [[0.0000, 0.5000, 0.2438], [0.5000, 0.0000, 0.7562], [0.0000, 0.5000, 0.8774], [0.5000, 0.0000, 0.1226], [0.5000, 0.5000, 0.5000], [0.0000, 0.0000, 0.5000], [0.0000, 0.0000, 0.0000], [0.0000, 0.5000, 0.6522], [0.5000, 0.0000, 0.3478], [0.5000, 0.5000, 0.0000]]}

Entry 5:
{"formula": "TaReW2", "functional": "GGA-PBE", "state": "optimized geometry", "total_magnetization_mub_per_fu": 0.0, "energy_ev_per_atom": -12.2916, "volume_a3_per_atom": 16.61, "relative_energy_mev_per_atom": 411, "lattice_angstrom": [[2.6660, -4.5261, 0.0000], [2.6660, 4.5261, 0.0000], [0.0000, 0.0000, 2.7523]], "species": ["Ta", "Re", "W", "W"], "frac_coords": [[0.0000, 0.0000, 0.0000], [0.5000, 0.5000, 0.0000], [0.0000, 0.5000, 0.5000], [0.5000, 0.0000, 0.5000]]}

Entry 6:
{"formula": "AsPdF2", "functional": "GGA-PBE", "state": "optimized geometry", "total_magnetization_mub_per_fu": 0.3, "energy_ev_per_atom": -4.1797, "volume_a3_per_atom": 14.57, "relative_energy_mev_per_atom": 51, "e_form_raw_mev_per_atom": -783, "lattice_angstrom": [[1.4343, 0.8281, 8.1752], [-1.4343, 0.8281, 8.1752], [0.0000, -1.6562, 8.1752]], "species": ["As", "Pd", "F", "F"], "frac_coords": [[0.0000, 0.0000, 0.0000], [0.5000, 0.5000, 0.5000], [0.0780, 0.0780, 0.0780], [0.9220, 0.9220, 0.9220]]}

Entry 7:
{"formula": "Er8Tc2Te", "functional": "GGA-PBE", "state": "optimized geometry", "total_magnetization_mub_per_fu": 0.0, "energy_ev_per_atom": -5.5754, "volume_a3_per_atom": 30.40, "e_form_raw_mev_per_atom": -87, "lattice_angstrom": [[6.1962, -4.3052, 0.0000], [6.1962, 4.3052, 0.0000], [-1.0729, 0.0000, 6.2685]], "species": ["Er", "Er", "Er", "Er", "Er", "Er", "Er", "Er", "Tc", "Tc", "Te"], "frac_coords": [[0.0414, 0.0414, 0.2599], [0.1743, 0.5632, 0.1335], [0.2787, 0.2787, 0.6252], [0.4368, 0.8257, 0.8665], [0.5632, 0.1743, 0.1335], [0.7213, 0.7213, 0.3748], [0.8257, 0.4368, 0.8665], [0.9586, 0.9586, 0.7401], [0.1846, 0.1846, 0.9805], [0.8154, 0.8154, 0.0195], [0.5000, 0.5000, 0.5000]]}

Entry 8:
{"formula": "ErTh2Al9", "functional": "GGA-PBE", "state": "optimized geometry", "total_magnetization_mub_per_fu": 0.0, "energy_ev_per_atom": -4.7215, "volume_a3_per_atom": 20.38, "lattice_angstrom": [[2.8215, 1.6290, 8.8691], [-2.8215, 1.6290, 8.8691], [0.0000, -3.2580, 8.8691]], "species": ["Er", "Th", "Th", "Al", "Al", "Al", "Al", "Al", "Al", "Al", "Al", "Al"], "frac_coords": [[0.0000, 0.0000, 0.0000], [0.1426, 0.1426, 0.1426], [0.8574, 0.8574, 0.8574], [0.0756, 0.5859, 0.5859], [0.3349, 0.3349, 0.3349], [0.4141, 0.4141, 0.9244], [0.4141, 0.9244, 0.4141], [0.5000, 0.5000, 0.5000], [0.5859, 0.0756, 0.5859], [0.5859, 0.5859, 0.0756], [0.6651, 0.6651, 0.6651], [0.9244, 0.4141, 0.4141]]}

Entry 9:
{"formula": "LiYZn4", "functional": "GGA-PBE", "state": "optimized geometry", "total_magnetization_mub_per_fu": 0.0, "energy_ev_per_atom": -2.4941, "volume_a3_per_atom": 17.77, "relative_energy_mev_per_atom": 0, "lattice_angstrom": [[0.0000, 3.7639, 3.7639], [3.7639, 0.0000, 3.7639], [3.7639, 3.7639, 0.0000]], "species": ["Li", "Y", "Zn", "Zn", "Zn", "Zn"], "frac_coords": [[0.0000, 0.0000, 0.0000], [0.7500, 0.7500, 0.7500], [0.3747, 0.3747, 0.3747], [0.3747, 0.3747, 0.8760], [0.3747, 0.8760, 0.3747], [0.8760, 0.3747, 0.3747]]}

Entry 10:
{"formula": "LiPu4Au5", "functional": "GGA-PBE", "state": "optimized geometry", "total_magnetization_mub_per_fu": 0.0, "energy_ev_per_atom": -7.2935, "volume_a3_per_atom": 21.72, "lattice_angstrom": [[3.8740, 0.0000, 0.0000], [0.0000, 3.8740, 0.0000], [0.0000, 0.0000, 14.4707]], "species": ["Li", "Pu", "Pu", "Pu", "Pu", "Au", "Au", "Au", "Au", "Au"], "frac_coords": [[0.0000, 0.0000, 0.0000], [0.0000, 0.0000, 0.2204], [0.0000, 0.0000, 0.3748], [0.0000, 0.0000, 0.6252], [0.0000, 0.0000, 0.7796], [0.5000, 0.5000, 0.0963], [0.5000, 0.5000, 0.2968], [0.5000, 0.5000, 0.5000], [0.5000, 0.5000, 0.7032], [0.5000, 0.5000, 0.9037]]}

Entry 11:
{"formula": "CePuVN4", "functional": "GGA-PBE", "state": "optimized geometry", "total_magnetization_mub_per_fu": 4.9, "energy_ev_per_atom": -10.1179, "volume_a3_per_atom": 12.55, "e_form_raw_mev_per_atom": -1163, "lattice_angstrom": [[2.6836, -6.1001, 0.0000], [2.6836, 6.1001, 0.0000], [0.0000, 0.0000, 5.3649]], "species": ["Ce", "Ce", "Pu", "Pu", "V", "V", "N", "N", "N", "N", "N", "N", "N", "N"], "frac_coords": [[0.1126, 0.8874, 0.7500], [0.8874, 0.1126, 0.2500], [0.3952, 0.6048, 0.7500], [0.6048, 0.3952, 0.2500], [0.2347, 0.7653, 0.2500], [0.7653, 0.2347, 0.7500], [0.0000, 0.5000, 0.0000], [0.0000, 0.5000, 0.5000], [0.0794, 0.9206, 0.2500], [0.4309, 0.5691, 0.2500], [0.5000, 0.0000, 0.0000], [0.5000, 0.0000, 0.5000], [0.5691, 0.4309, 0.7500], [0.9206, 0.0794, 0.7500]]}

Entry 12:
{"formula": "YSbSe2Br", "functional": "GGA-PBE", "state": "optimized geometry", "total_magnetization_mub_per_fu": 0.6, "energy_ev_per_atom": -4.0154, "volume_a3_per_atom": 31.31, "relative_energy_mev_per_atom": 334, "e_form_raw_mev_per_atom": -170, "lattice_angstrom": [[5.4057, 0.0000, 0.0000], [0.0000, 5.4057, 0.0000], [0.0000, 0.0000, 5.3576]], "species": ["Y", "Sb", "Se", "Se", "Br"], "frac_coords": [[0.0000, 0.0000, 0.0000], [0.5000, 0.5000, 0.5000], [0.0000, 0.5000, 0.5000], [0.5000, 0.0000, 0.5000], [0.5000, 0.5000, 0.0000]]}

What did the ninth record say?
{"formula": "LiYZn4", "functional": "GGA-PBE", "state": "optimized geometry", "total_magnetization_mub_per_fu": 0.0, "energy_ev_per_atom": -2.4941, "volume_a3_per_atom": 17.77, "relative_energy_mev_per_atom": 0, "lattice_angstrom": [[0.0000, 3.7639, 3.7639], [3.7639, 0.0000, 3.7639], [3.7639, 3.7639, 0.0000]], "species": ["Li", "Y", "Zn", "Zn", "Zn", "Zn"], "frac_coords": [[0.0000, 0.0000, 0.0000], [0.7500, 0.7500, 0.7500], [0.3747, 0.3747, 0.3747], [0.3747, 0.3747, 0.8760], [0.3747, 0.8760, 0.3747], [0.8760, 0.3747, 0.3747]]}

Please write out number 7 again, unchanged.
{"formula": "Er8Tc2Te", "functional": "GGA-PBE", "state": "optimized geometry", "total_magnetization_mub_per_fu": 0.0, "energy_ev_per_atom": -5.5754, "volume_a3_per_atom": 30.40, "e_form_raw_mev_per_atom": -87, "lattice_angstrom": [[6.1962, -4.3052, 0.0000], [6.1962, 4.3052, 0.0000], [-1.0729, 0.0000, 6.2685]], "species": ["Er", "Er", "Er", "Er", "Er", "Er", "Er", "Er", "Tc", "Tc", "Te"], "frac_coords": [[0.0414, 0.0414, 0.2599], [0.1743, 0.5632, 0.1335], [0.2787, 0.2787, 0.6252], [0.4368, 0.8257, 0.8665], [0.5632, 0.1743, 0.1335], [0.7213, 0.7213, 0.3748], [0.8257, 0.4368, 0.8665], [0.9586, 0.9586, 0.7401], [0.1846, 0.1846, 0.9805], [0.8154, 0.8154, 0.0195], [0.5000, 0.5000, 0.5000]]}